No. 1
First-principles (GGA-PBEsol) data for a geometry-optimized CrFeSb structure, as listed in the Alexandria database.

Unit cell a=5.4793 b=5.4793 c=5.4793 alpha=148.81 beta=148.81 gamma=44.69
Fractional positions:
Cr (0.0000, 0.0000, 0.0000)
Fe (0.6237, 0.6237, 0.0000)
Sb (0.3046, 0.3046, 0.0000)

Results
Calculated density (g/cm3): 8.67



No. 2
First-principles (GGA-PBEsol) data for a geometry-optimized BaZn3Au structure, as listed in the Alexandria database.

Unit cell a=4.9171 b=4.9171 c=4.9171 alpha=90.00 beta=90.00 gamma=90.00
Fractional positions:
Ba (0.0000, 0.0000, 0.0000)
Zn (0.0000, 0.5000, 0.5000)
Zn (0.5000, 0.0000, 0.5000)
Zn (0.5000, 0.5000, 0.0000)
Au (0.5000, 0.5000, 0.5000)

Results
Energy of formation from the pure elements (meV/atom): -188
Calculated density (g/cm3): 7.41



No. 3
First-principles (GGA-PBEsol) data for a geometry-optimized Y2Au structure, as listed in the Alexandria database.

Unit cell a=7.0060 b=4.8994 c=8.8354 alpha=90.00 beta=90.00 gamma=90.00
Fractional positions:
Y (0.0117, 0.2500, 0.1765)
Y (0.1504, 0.2500, 0.5822)
Y (0.3496, 0.7500, 0.0822)
Y (0.4883, 0.7500, 0.6765)
Y (0.5117, 0.2500, 0.3235)
Y (0.6504, 0.2500, 0.9178)
Y (0.8496, 0.7500, 0.4178)
Y (0.9883, 0.7500, 0.8235)
Au (0.2421, 0.2500, 0.9025)
Au (0.2579, 0.7500, 0.4025)
Au (0.7421, 0.2500, 0.5975)
Au (0.7579, 0.7500, 0.0975)

Results
Energy of formation from the pure elements (meV/atom): -665
Calculated density (g/cm3): 8.21



no.,E (eV/atom),total moment (μB per formula unit)
1,-7.467,0.5
2,-2.352,0.0
3,-6.521,0.0